No. 1
{"formula": "Rb2NpGaO6", "functional": "GGA-PBE", "state": "relaxed", "lattice_angstrom": [[-1.281, -4.885, -2.957], [-2.316, -2.325, 4.845], [-7.375, 3.152, -2.013]], "species": ["O", "O", "O", "O", "O", "O", "O", "O", "O", "O", "O", "O", "Ga", "Ga", "Np", "Np", "Rb", "Rb", "Rb", "Rb"], "fractional_positions": [[0.252, 0.002, 0.500], [0.752, 0.998, 0.000], [0.248, 0.502, 0.000], [0.500, 0.250, 0.252], [0.500, 0.250, 0.748], [0.748, 0.002, 0.500], [0.000, 0.750, 0.752], [0.000, 0.750, 0.248], [0.748, 0.498, 0.500], [0.252, 0.498, 0.500], [0.248, 0.998, 0.000], [0.752, 0.502, 0.000], [0.000, 0.750, 0.500], [0.500, 0.250, 0.000], [0.000, 0.750, 0.000], [0.500, 0.250, 0.500], [0.500, 0.750, 0.750], [0.500, 0.750, 0.250], [0.000, 0.250, 0.250], [0.000, 0.250, 0.750]], "e_tot_ev_per_atom": -6.85, "e_form_raw_ev_per_atom": -2.0838}

---

No. 2
{"formula": "Rb2Np3GaO12", "functional": "GGA-PBE", "state": "relaxed", "lattice_angstrom": [[-5.326, -1.566, -4.964], [1.916, -4.580, -5.551], [-2.841, -6.879, 0.277]], "species": ["O", "O", "O", "O", "O", "O", "O", "O", "O", "O", "O", "O", "Ga", "Np", "Np", "Np", "Rb", "Rb"], "fractional_positions": [[0.306, 0.941, 0.941], [0.936, 0.322, 0.322], [0.941, 0.941, 0.306], [0.059, 0.694, 0.059], [0.678, 0.064, 0.678], [0.322, 0.322, 0.936], [0.064, 0.678, 0.678], [0.694, 0.059, 0.059], [0.678, 0.678, 0.064], [0.059, 0.059, 0.694], [0.322, 0.936, 0.322], [0.941, 0.306, 0.941], [0.000, 0.000, 0.000], [0.000, 0.000, 0.500], [0.500, 0.000, 0.000], [0.000, 0.500, 0.000], [0.627, 0.627, 0.627], [0.373, 0.373, 0.373]], "e_tot_ev_per_atom": -8.21, "e_form_raw_ev_per_atom": -2.4745}

---

No. 3
{"formula": "Rb2NpGa2O6", "functional": "GGA-PBE", "state": "relaxed", "lattice_angstrom": [[6.029, 0.000, 0.000], [3.015, 5.221, 0.000], [3.015, 1.740, 6.174]], "species": ["O", "O", "O", "O", "O", "O", "Rb", "Rb", "Ga", "Ga", "Np"], "fractional_positions": [[0.228, 0.228, 0.807], [0.772, 0.263, 0.193], [0.228, 0.737, 0.807], [0.772, 0.772, 0.193], [0.737, 0.228, 0.807], [0.263, 0.772, 0.193], [0.770, 0.770, 0.691], [0.230, 0.230, 0.309], [0.434, 0.434, 0.698], [0.566, 0.566, 0.302], [0.000, 0.000, 0.000]], "e_tot_ev_per_atom": -6.71, "e_form_raw_ev_per_atom": -2.1072}

---

No. 4
{"formula": "RbNpGaO5", "functional": "GGA-PBE", "state": "relaxed", "lattice_angstrom": [[6.190, 0.108, -0.123], [-1.704, 5.952, -0.123], [-2.015, -2.722, 7.343]], "species": ["O", "O", "O", "O", "O", "O", "O", "O", "O", "O", "Np", "Np", "Rb", "Rb", "Ga", "Ga"], "fractional_positions": [[0.055, 0.945, 0.250], [0.216, 0.362, 0.609], [0.274, 0.884, 0.607], [0.884, 0.274, 0.107], [0.784, 0.638, 0.391], [0.116, 0.726, 0.893], [0.726, 0.116, 0.393], [0.362, 0.216, 0.109], [0.945, 0.055, 0.750], [0.638, 0.784, 0.891], [0.000, 0.000, 0.000], [0.000, 0.000, 0.500], [0.332, 0.668, 0.250], [0.668, 0.332, 0.750], [0.691, 0.309, 0.250], [0.309, 0.691, 0.750]], "e_tot_ev_per_atom": -7.53, "e_form_raw_ev_per_atom": -2.3099}

---

No. 5
{"formula": "RbNpGa2O6", "functional": "GGA-PBE", "state": "relaxed", "lattice_angstrom": [[-3.006, -3.893, 3.804], [2.654, -6.762, -2.204], [4.599, -0.214, 6.035]], "species": ["Np", "Np", "O", "O", "O", "O", "O", "O", "O", "O", "O", "O", "O", "O", "Ga", "Ga", "Ga", "Ga", "Rb", "Rb"], "fractional_positions": [[0.250, 0.294, 0.706], [0.750, 0.706, 0.294], [0.331, 0.286, 0.378], [0.218, 0.015, 0.720], [0.831, 0.378, 0.286], [0.669, 0.714, 0.622], [0.083, 0.626, 0.227], [0.417, 0.773, 0.374], [0.917, 0.374, 0.773], [0.718, 0.720, 0.015], [0.169, 0.622, 0.714], [0.282, 0.280, 0.985], [0.583, 0.227, 0.626], [0.782, 0.985, 0.280], [0.651, 0.214, 0.370], [0.151, 0.370, 0.214], [0.849, 0.630, 0.786], [0.349, 0.786, 0.630], [0.750, 0.089, 0.911], [0.250, 0.911, 0.089]], "e_tot_ev_per_atom": -7.10, "e_form_raw_ev_per_atom": -2.1318}

---

No. 6
{"formula": "RbNpGa2O8", "functional": "GGA-PBE", "state": "relaxed", "lattice_angstrom": [[5.150, -0.151, 0.110], [-0.106, 5.160, -0.136], [0.204, -0.219, 7.326]], "species": ["Ga", "Ga", "O", "O", "O", "O", "O", "O", "O", "O", "Rb", "Np"], "fractional_positions": [[0.450, 0.550, 0.816], [0.550, 0.450, 0.184], [0.171, 0.834, 0.169], [0.563, 0.434, 0.574], [0.682, 0.680, 0.000], [0.437, 0.566, 0.426], [0.202, 0.797, 0.795], [0.798, 0.203, 0.205], [0.318, 0.320, 0.000], [0.829, 0.166, 0.831], [0.000, 0.000, 0.500], [0.000, 0.000, 0.000]], "e_tot_ev_per_atom": -6.78, "e_form_raw_ev_per_atom": -1.8151}

---

No. 7
{"formula": "Rb3NpGa2O8", "functional": "GGA-PBE", "state": "relaxed", "lattice_angstrom": [[-5.065, 2.656, 1.574], [0.811, -5.761, 1.155], [3.350, 1.967, 7.464]], "species": ["Ga", "Ga", "O", "O", "O", "O", "O", "O", "O", "O", "Rb", "Rb", "Rb", "Np"], "fractional_positions": [[0.667, 0.333, 0.728], [0.333, 0.667, 0.272], [0.163, 0.326, 0.359], [0.326, 0.163, 0.641], [0.333, 0.667, 0.061], [0.837, 0.674, 0.641], [0.837, 0.163, 0.641], [0.667, 0.333, 0.939], [0.163, 0.837, 0.359], [0.674, 0.837, 0.359], [0.333, 0.667, 0.746], [0.000, 0.000, 0.000], [0.667, 0.333, 0.254], [0.000, 0.000, 0.500]], "e_tot_ev_per_atom": -6.35, "e_form_raw_ev_per_atom": -1.9512}

---

No. 8
{"formula": "NpGa2RhO8", "functional": "GGA-PBE", "state": "relaxed", "lattice_angstrom": [[4.767, -0.102, -0.003], [-0.083, 4.762, -0.006], [0.004, 0.007, 6.119]], "species": ["O", "O", "O", "O", "O", "O", "O", "O", "Rh", "Ga", "Ga", "Np"], "fractional_positions": [[0.695, 0.697, 0.500], [0.687, 0.688, 0.000], [0.313, 0.312, 0.000], [0.801, 0.201, 0.748], [0.199, 0.799, 0.252], [0.801, 0.201, 0.252], [0.199, 0.799, 0.748], [0.305, 0.303, 0.500], [0.000, 0.000, 0.500], [0.500, 0.500, 0.261], [0.500, 0.500, 0.739], [0.000, 0.000, 0.000]], "e_tot_ev_per_atom": -7.29, "e_form_raw_ev_per_atom": -1.7939}

---

No. 9
{"formula": "NpGaSbO6", "functional": "GGA-PBE", "state": "relaxed", "lattice_angstrom": [[-1.795, 4.311, -2.596], [-1.918, -1.194, 4.841], [7.086, 5.450, 4.152]], "species": ["O", "O", "O", "O", "O", "O", "O", "O", "O", "O", "O", "O", "Np", "Np", "Ga", "Ga", "Sb", "Sb"], "fractional_positions": [[0.348, 0.992, 0.137], [0.356, 0.008, 0.637], [0.356, 0.348, 0.863], [0.348, 0.356, 0.363], [0.644, 0.652, 0.137], [0.008, 0.652, 0.363], [0.992, 0.644, 0.863], [0.652, 0.008, 0.863], [0.008, 0.356, 0.137], [0.652, 0.644, 0.637], [0.992, 0.348, 0.637], [0.644, 0.992, 0.363], [0.333, 0.667, 0.750], [0.667, 0.333, 0.250], [0.333, 0.667, 0.250], [0.667, 0.333, 0.750], [0.000, 0.000, 0.000], [0.000, 0.000, 0.500]], "e_tot_ev_per_atom": -7.51, "e_form_raw_ev_per_atom": -1.9746}

---

No. 10
{"formula": "NpScGaO6", "functional": "GGA-PBE", "state": "relaxed", "lattice_angstrom": [[-0.798, 0.136, 5.176], [3.124, -3.658, -2.073], [7.332, 5.706, 0.981]], "species": ["O", "O", "O", "O", "O", "O", "O", "O", "O", "O", "O", "O", "Np", "Np", "Ga", "Ga", "Sc", "Sc"], "fractional_positions": [[0.343, 0.008, 0.632], [0.992, 0.657, 0.868], [0.343, 0.335, 0.868], [0.335, 0.343, 0.368], [0.657, 0.665, 0.132], [0.992, 0.335, 0.632], [0.008, 0.343, 0.132], [0.657, 0.992, 0.368], [0.665, 0.008, 0.868], [0.665, 0.657, 0.632], [0.335, 0.992, 0.132], [0.008, 0.665, 0.368], [0.333, 0.667, 0.750], [0.667, 0.333, 0.250], [0.333, 0.667, 0.250], [0.667, 0.333, 0.750], [0.000, 0.000, 0.500], [0.000, 0.000, 0.000]], "e_tot_ev_per_atom": -8.41, "e_form_raw_ev_per_atom": -2.6241}

---

No. 11
{"formula": "SmNpGa2O8", "functional": "GGA-PBE", "state": "relaxed", "lattice_angstrom": [[-2.895, -0.366, -3.799], [-2.945, -3.428, 1.608], [-4.492, 5.079, 2.835]], "species": ["Sm", "O", "O", "O", "O", "O", "O", "O", "O", "Ga", "Ga", "Np"], "fractional_positions": [[0.000, 0.000, 0.500], [0.750, 0.751, 0.006], [0.780, 0.218, 0.770], [0.680, 0.681, 0.500], [0.220, 0.782, 0.230], [0.217, 0.780, 0.770], [0.250, 0.249, 0.994], [0.320, 0.319, 0.500], [0.783, 0.220, 0.230], [0.496, 0.496, 0.690], [0.504, 0.504, 0.310], [0.000, 0.000, 0.000]], "e_tot_ev_per_atom": -7.63, "e_form_raw_ev_per_atom": -2.3496}

---

No. 12
{"formula": "SmNpGaO6", "functional": "GGA-PBE", "state": "relaxed", "lattice_angstrom": [[-2.558, -0.318, -4.663], [0.285, -4.266, 3.179], [-8.691, 2.829, 4.576]], "species": ["O", "O", "O", "O", "O", "O", "O", "O", "O", "O", "O", "O", "Ga", "Ga", "Sm", "Sm", "Np", "Np"], "fractional_positions": [[0.992, 0.352, 0.640], [0.352, 0.992, 0.140], [0.008, 0.359, 0.140], [0.648, 0.641, 0.640], [0.992, 0.641, 0.860], [0.648, 0.008, 0.860], [0.359, 0.352, 0.860], [0.352, 0.359, 0.360], [0.641, 0.648, 0.140], [0.008, 0.648, 0.360], [0.641, 0.992, 0.360], [0.359, 0.008, 0.640], [0.667, 0.333, 0.750], [0.333, 0.667, 0.250], [0.000, 0.000, 0.500], [0.000, 0.000, 0.000], [0.333, 0.667, 0.750], [0.667, 0.333, 0.250]], "e_tot_ev_per_atom": -8.29, "e_form_raw_ev_per_atom": -2.6811}

---

No. 13
{"formula": "NpGaSnO6", "functional": "GGA-PBE", "state": "relaxed", "lattice_angstrom": [[5.296, 0.000, 0.000], [-2.648, 4.586, 0.000], [0.000, 0.000, 9.206]], "species": ["Np", "Np", "O", "O", "O", "O", "O", "O", "O", "O", "O", "O", "O", "O", "Sn", "Sn", "Ga", "Ga"], "fractional_positions": [[0.333, 0.667, 0.750], [0.667, 0.333, 0.250], [0.674, 0.658, 0.629], [0.658, 0.674, 0.129], [0.326, 0.984, 0.129], [0.658, 0.984, 0.371], [0.674, 0.016, 0.871], [0.984, 0.658, 0.871], [0.984, 0.326, 0.629], [0.342, 0.326, 0.871], [0.342, 0.016, 0.629], [0.016, 0.342, 0.129], [0.016, 0.674, 0.371], [0.326, 0.342, 0.371], [0.000, 0.000, 0.000], [0.000, 0.000, 0.500], [0.667, 0.333, 0.750], [0.333, 0.667, 0.250]], "e_tot_ev_per_atom": -7.56, "e_form_raw_ev_per_atom": -2.0333}

---

No. 14
{"formula": "Sr3NpGa2O9", "functional": "GGA-PBE", "state": "relaxed", "lattice_angstrom": [[-3.747, 0.818, -4.205], [-1.834, -0.847, 5.321], [0.200, 6.993, 1.183]], "species": ["Sr", "Sr", "Sr", "O", "O", "O", "O", "O", "O", "O", "O", "O", "Np", "Ga", "Ga"], "fractional_positions": [[0.333, 0.667, 0.706], [0.000, 0.000, 0.000], [0.667, 0.333, 0.294], [0.169, 0.337, 0.328], [0.337, 0.169, 0.672], [0.500, 0.500, 0.000], [0.831, 0.169, 0.672], [0.663, 0.831, 0.328], [0.831, 0.663, 0.672], [0.169, 0.831, 0.328], [0.500, 0.000, 0.000], [0.000, 0.500, 0.000], [0.000, 0.000, 0.500], [0.333, 0.667, 0.151], [0.667, 0.333, 0.849]], "e_tot_ev_per_atom": -7.15, "e_form_raw_ev_per_atom": -2.5737}

---

No. 15
{"formula": "Sr3NpGa2O8", "functional": "GGA-PBE", "state": "relaxed", "lattice_angstrom": [[5.915, 0.000, 0.000], [-2.957, 5.122, 0.000], [0.000, 0.000, 7.313]], "species": ["O", "O", "O", "O", "O", "O", "O", "O", "Np", "Sr", "Sr", "Sr", "Ga", "Ga"], "fractional_positions": [[0.170, 0.340, 0.316], [0.830, 0.660, 0.684], [0.660, 0.830, 0.316], [0.830, 0.170, 0.684], [0.333, 0.667, 0.955], [0.340, 0.170, 0.684], [0.667, 0.333, 0.045], [0.170, 0.830, 0.316], [0.000, 0.000, 0.500], [0.333, 0.667, 0.649], [0.667, 0.333, 0.351], [0.000, 0.000, 0.000], [0.333, 0.667, 0.197], [0.667, 0.333, 0.803]], "e_tot_ev_per_atom": -7.01, "e_form_raw_ev_per_atom": -2.4636}

---

No. 16
{"formula": "Sr2NpGaO6", "functional": "GGA-PBE", "state": "relaxed", "lattice_angstrom": [[5.799, 0.000, -0.007], [0.000, 5.813, 0.000], [0.042, 0.000, 8.199]], "species": ["Sr", "Sr", "Sr", "Sr", "O", "O", "O", "O", "O", "O", "O", "O", "O", "O", "O", "O", "Np", "Np", "Ga", "Ga"], "fractional_positions": [[0.006, 0.973, 0.251], [0.506, 0.527, 0.751], [0.994, 0.027, 0.749], [0.494, 0.473, 0.249], [0.712, 0.274, 0.965], [0.226, 0.213, 0.035], [0.934, 0.514, 0.257], [0.726, 0.287, 0.535], [0.274, 0.713, 0.465], [0.434, 0.986, 0.757], [0.774, 0.787, 0.965], [0.066, 0.486, 0.743], [0.288, 0.726, 0.035], [0.788, 0.774, 0.535], [0.566, 0.014, 0.243], [0.212, 0.226, 0.465], [0.000, 0.500, 0.000], [0.500, 0.000, 0.500], [0.000, 0.500, 0.500], [0.500, 0.000, 0.000]], "e_tot_ev_per_atom": -7.61, "e_form_raw_ev_per_atom": -2.7005}

---

No. 17
{"formula": "SrNp2GaO8", "functional": "GGA-PBE", "state": "relaxed", "lattice_angstrom": [[4.980, 0.139, -0.003], [0.203, 4.977, -0.006], [0.004, 0.007, 6.946]], "species": ["O", "O", "O", "O", "O", "O", "O", "O", "Np", "Np", "Ga", "Sr"], "fractional_positions": [[0.202, 0.796, 0.208], [0.668, 0.670, 0.500], [0.332, 0.330, 0.500], [0.690, 0.691, 0.000], [0.202, 0.796, 0.792], [0.310, 0.309, 0.000], [0.798, 0.204, 0.208], [0.798, 0.204, 0.792], [0.500, 0.500, 0.240], [0.500, 0.500, 0.760], [0.000, 0.000, 0.000], [0.000, 0.000, 0.500]], "e_tot_ev_per_atom": -8.47, "e_form_raw_ev_per_atom": -2.6152}

---

No. 18
{"formula": "SrNpGaO5", "functional": "GGA-PBE", "state": "relaxed", "lattice_angstrom": [[6.027, 0.008, -0.058], [-1.751, 5.767, -0.058], [-1.848, -2.497, 7.261]], "species": ["O", "O", "O", "O", "O", "O", "O", "O", "O", "O", "Ga", "Ga", "Sr", "Sr", "Np", "Np"], "fractional_positions": [[0.689, 0.106, 0.389], [0.255, 0.367, 0.592], [0.311, 0.894, 0.611], [0.894, 0.311, 0.111], [0.106, 0.689, 0.889], [0.367, 0.255, 0.092], [0.745, 0.633, 0.408], [0.076, 0.924, 0.250], [0.924, 0.076, 0.750], [0.633, 0.745, 0.908], [0.684, 0.316, 0.250], [0.316, 0.684, 0.750], [0.332, 0.668, 0.250], [0.668, 0.332, 0.750], [0.000, 0.000, 0.500], [0.000, 0.000, 0.000]], "e_tot_ev_per_atom": -7.97, "e_form_raw_ev_per_atom": -2.6627}